Material: HfW2O2
Method: DFT, PBE with a Hubbard U
State: relaxed

Lattice parameters (Å, degrees): 3.7957 3.7957 5.7285 70.65 70.65 90.00
With the nearest neighbours (Å) after each atom.
Element x y z (fractional)
Hf1 0.0000 0.0000 0.0000  8 O 2.98, 8 W 3.16
O1 0.3731 0.3731 0.2537  4 W 2.27
O2 0.6269 0.6269 0.7463  4 W 2.27
W1 0.7500 0.2500 0.5000  4 O 2.27
W2 0.2500 0.7500 0.5000  4 O 2.27

## Properties
E above lowest polymorph (eV per atom): 1.189
SG: No. 139